1.
Below is an optimized crystal structure of NbSe3S, with properties calculated at the PBE-GGA level.

* E above lowest polymorph: 0.000 eV per atom
* symmetry: No. 221
* V: 25.1 Å³ per atom
* formation energy (no corrections): 0.297 eV per atom

Cell lengths 5.008, 5.008, 5.008 Å; angles 90.00, 90.00, 90.00 degrees
Element x y z (fractional)
Se 0.000 0.500 0.000
S 0.500 0.500 0.500
Nb 0.000 0.000 0.000
Se 0.500 0.000 0.000
Se 0.000 0.000 0.500


2.
Below is an optimized crystal structure of Pr5Zn2, with properties calculated at the PBE-GGA level.

* E above lowest polymorph: 0.000 eV per atom
* symmetry: No. 15
* V: 30.2 Å³ per atom
* formation energy from the elements: -11.0 kJ per mole of atoms

Cell lengths 7.810, 6.654, 9.030 Å; angles 92.80, 115.62, 90.00 degrees
Element x y z (fractional)
Pr 0.218 0.522 0.166
Pr 0.467 0.250 0.000
Pr 0.949 0.022 0.166
Zn 0.869 0.516 0.231
Pr 0.191 0.763 0.539
Pr 0.533 0.750 0.000
Zn 0.363 0.016 0.231
Pr 0.809 0.237 0.461
Pr 0.652 0.737 0.461
Zn 0.637 0.984 0.769
Pr 0.782 0.478 0.834
Zn 0.131 0.484 0.769
Pr 0.348 0.263 0.539
Pr 0.051 0.978 0.834


3.
Below is an optimized crystal structure of Ca2Zn3Cd6, with properties calculated at the PBE-GGA level.

* symmetry: No. 189
* V: 23.7 Å³ per atom
* formation energy from the elements: -15.0 kJ per mole of atoms

Cell lengths 4.615, 8.070, 8.070 Å; angles 120.00, 90.00, 90.00 degrees
Element x y z (fractional)
Cd 0.500 0.283 0.000
Zn 0.500 0.609 0.000
Cd 0.500 0.717 0.717
Cd 0.500 0.000 0.283
Ca 0.000 0.667 0.333
Zn 0.500 0.391 0.391
Cd 0.000 0.788 0.000
Cd 0.000 0.212 0.212
Cd 0.000 0.000 0.788
Zn 0.500 0.000 0.609
Ca 0.000 0.333 0.667


4.
Below is an optimized crystal structure of ThSnP2, with properties calculated at the PBE-GGA level.

* E above lowest polymorph: 0.000 eV per atom
* symmetry: No. 123
* V: 21.1 Å³ per atom
* formation energy from the elements: -65.4 kJ per mole of atoms

Cell lengths 3.742, 4.750, 4.750 Å; angles 90.00, 90.00, 90.00 degrees
Element x y z (fractional)
Th 0.500 0.000 0.000
P 0.000 0.500 0.000
Sn 0.500 0.500 0.500
P 0.000 0.000 0.500


5.
Below is an optimized crystal structure of NdZnGaNi3, with properties calculated at the PBE-GGA level.

* symmetry: No. 63
* V: 16.4 Å³ per atom
* formation energy from the elements: -18.5 kJ per mole of atoms

Cell lengths 5.872, 5.629, 6.576 Å; angles 115.34, 90.00, 90.00 degrees
Element x y z (fractional)
Ga 0.750 0.638 0.276
Nd 0.750 0.306 0.613
Ni 0.750 0.852 0.703
Ni 0.000 0.286 0.000
Ni 0.000 0.714 0.000
Ni 0.500 0.714 0.000
Ni 0.250 0.148 0.297
Nd 0.250 0.694 0.387
Ni 0.500 0.286 0.000
Zn 0.250 0.932 0.863
Zn 0.750 0.068 0.137
Ga 0.250 0.362 0.724


6.
Below is an optimized crystal structure of Sr4Cu6F19, with properties calculated at the PBE-GGA level.

* symmetry: No. 197
* V: 13.3 Å³ per atom
* formation energy (no corrections): -2.471 eV per atom

Cell lengths 7.952, 7.952, 7.952 Å; angles 109.47, 109.47, 109.47 degrees
Element x y z (fractional)
Cu 0.833 0.333 0.500
F 0.000 0.327 0.327
F 0.386 0.632 0.652
F 0.755 0.020 0.368
F 0.000 0.673 0.673
Sr 0.000 0.679 0.000
F 0.265 0.245 0.614
Cu 0.500 0.167 0.667
F 0.673 0.000 0.673
Sr 0.679 0.000 0.000
F 0.327 0.327 0.000
F 0.348 0.980 0.735
F 0.327 0.000 0.327
F 0.673 0.673 0.000
F 0.368 0.755 0.020
F 0.000 0.000 0.000
F 0.632 0.652 0.386
F 0.614 0.265 0.245
F 0.020 0.368 0.755
F 0.652 0.386 0.632
F 0.980 0.735 0.348
F 0.245 0.614 0.265
Cu 0.500 0.833 0.333
Cu 0.667 0.500 0.167
Sr 0.000 0.000 0.679
Cu 0.333 0.500 0.833
Sr 0.321 0.321 0.321
F 0.735 0.348 0.980
Cu 0.167 0.667 0.500


7.
Below is an optimized crystal structure of Ac3MgPb, with properties calculated at the PBE-GGA level.

* symmetry: No. 14
* V: 37.4 Å³ per atom
* formation energy from the elements: -13.8 kJ per mole of atoms

Cell lengths 6.200, 12.267, 10.351 Å; angles 108.19, 90.00, 90.00 degrees
Element x y z (fractional)
Ac 0.248 0.161 0.169
Ac 0.752 0.839 0.831
Ac 0.247 0.247 0.578
Ac 0.751 0.934 0.197
Pb 0.751 0.634 0.011
Mg 0.252 0.955 0.407
Ac 0.251 0.566 0.803
Pb 0.251 0.866 0.989
Ac 0.252 0.661 0.169
Pb 0.249 0.366 0.989
Mg 0.748 0.045 0.593
Ac 0.253 0.747 0.578
Ac 0.749 0.434 0.197
Ac 0.753 0.753 0.422
Ac 0.748 0.339 0.831
Ac 0.747 0.253 0.422
Pb 0.749 0.134 0.011
Ac 0.249 0.066 0.803
Mg 0.248 0.455 0.407
Mg 0.752 0.545 0.593


8.
Below is an optimized crystal structure of TaBeW4, with properties calculated at the PBE-GGA level.

* symmetry: No. 216
* V: 17.0 Å³ per atom
* formation energy from the elements: 46.2 kJ per mole of atoms

Cell lengths 5.243, 5.243, 5.243 Å; angles 60.00, 60.00, 60.00 degrees
Element x y z (fractional)
W 0.376 0.873 0.376
W 0.873 0.376 0.376
Ta 0.000 0.000 0.000
Be 0.750 0.750 0.750
W 0.376 0.376 0.873
W 0.376 0.376 0.376


| no. | magnetization (μB/f.u.) |
| --- | --- |
| 1 | 0.00 |
| 2 | 0.00 |
| 3 | 0.00 |
| 4 | 0.00 |
| 5 | 0.00 |
| 6 | 5.00 |
| 7 | 0.00 |
| 8 | 0.00 |